Material: ReP2Ru
Method: DFT, PBEsol
State: relaxed

Computed properties:
- energy above the lowest structure with this stoichiometry (eV per atom) = 0.000
- E_form (meV per atom) = -319
- E (eV per atom) = -9.091
- magnetic moment (μB per formula unit) = 0.00

Unit cell a=8.286 b=2.967 c=4.331 alpha=90.00 beta=104.31 gamma=90.00
Space group Cm (No. 8)
One atom of each set of equivalent atoms:
Re  0.000  0.000  0.000 (multiplicity 2)
P  0.236  0.500  0.112 (multiplicity 2)
P  0.496  0.000  0.457 (multiplicity 2)
Ru  0.238  0.000  0.582 (multiplicity 2)